<i>
# BeZnNO, optimized geometry, DFT PBE
data_BeZnNO
_symmetry_space_group_name_H-M 'P 1'
_symmetry_Int_Tables_number 1
_cell_length_a 3.0265
_cell_length_b 4.6015
_cell_length_c 5.2981
_cell_angle_alpha 90.00
_cell_angle_beta 90.00
_cell_angle_gamma 90.00
loop_
_symmetry_equiv_pos_as_xyz
'x,y,z'
loop_
_atom_site_label
_atom_site_type_symbol
_atom_site_fract_x
_atom_site_fract_y
_atom_site_fract_z
_atom_site_occupancy
Be1 Be 0.5000 0.0005 0.1609 1
Be2 Be 0.5000 0.5005 0.8391 1
N1 N 0.0000 0.9233 0.3102 1
N2 N 0.0000 0.4233 0.6898 1
O1 O 0.5000 0.3504 0.1152 1
O2 O 0.5000 0.8504 0.8848 1
Zn1 Zn 0.0000 0.4798 0.3249 1
Zn2 Zn 0.0000 0.9798 0.6751 1
# **V**: 9.22 A^3/atom

---

<ii>
# BeZnNO, optimized geometry, DFT PBE
data_BeZnNO
_symmetry_space_group_name_H-M 'P 1'
_symmetry_Int_Tables_number 1
_cell_length_a 4.4304
_cell_length_b 5.2793
_cell_length_c 6.3160
_cell_angle_alpha 90.00
_cell_angle_beta 90.00
_cell_angle_gamma 90.00
loop_
_symmetry_equiv_pos_as_xyz
'x,y,z'
loop_
_atom_site_label
_atom_site_type_symbol
_atom_site_fract_x
_atom_site_fract_y
_atom_site_fract_z
_atom_site_occupancy
Be1 Be 0.0541 0.0259 0.1215 1
Be2 Be 0.5541 0.4741 0.1215 1
Be3 Be 0.0541 0.5259 0.8785 1
Be4 Be 0.5541 0.9741 0.8785 1
N1 N 0.5444 0.1699 0.0869 1
N2 N 0.0444 0.3301 0.0869 1
N3 N 0.5444 0.6699 0.9131 1
N4 N 0.0444 0.8301 0.9131 1
O1 O 0.5477 0.5833 0.3532 1
O2 O 0.0477 0.9167 0.3532 1
O3 O 0.5477 0.0833 0.6468 1
O4 O 0.0477 0.4167 0.6468 1
Zn1 Zn 0.0561 0.5376 0.3479 1
Zn2 Zn 0.5561 0.9624 0.3479 1
Zn3 Zn 0.0561 0.0376 0.6521 1
Zn4 Zn 0.5561 0.4624 0.6521 1
# **V**: 9.23 A^3/atom

---

List of relative energies, unit kJ/mol of atoms: <i> 0.0; <ii> 3.4

---

<i>
# ZrBeNO, optimized geometry, DFT PBE
data_ZrBeNO
_symmetry_space_group_name_H-M 'P 1'
_symmetry_Int_Tables_number 1
_cell_length_a 4.2452
_cell_length_b 4.2452
_cell_length_c 4.6815
_cell_angle_alpha 90.00
_cell_angle_beta 90.00
_cell_angle_gamma 90.00
loop_
_symmetry_equiv_pos_as_xyz
'x,y,z'
loop_
_atom_site_label
_atom_site_type_symbol
_atom_site_fract_x
_atom_site_fract_y
_atom_site_fract_z
_atom_site_occupancy
Be1 Be 0.7500 0.7500 0.0534 1
Be2 Be 0.2500 0.2500 0.9466 1
N1 N 0.7500 0.7500 0.3965 1
N2 N 0.2500 0.2500 0.6035 1
O1 O 0.7500 0.2500 0.0000 1
O2 O 0.2500 0.7500 0.0000 1
Zr1 Zr 0.7500 0.2500 0.5000 1
Zr2 Zr 0.2500 0.7500 0.5000 1
# **V**: 10.55 A^3/atom

---

<ii>
# ZrBeNO, optimized geometry, DFT PBE
data_ZrBeNO
_symmetry_space_group_name_H-M 'P 1'
_symmetry_Int_Tables_number 1
_cell_length_a 4.4216
_cell_length_b 8.3301
_cell_length_c 4.4295
_cell_angle_alpha 90.00
_cell_angle_beta 90.00
_cell_angle_gamma 90.00
loop_
_symmetry_equiv_pos_as_xyz
'x,y,z'
loop_
_atom_site_label
_atom_site_type_symbol
_atom_site_fract_x
_atom_site_fract_y
_atom_site_fract_z
_atom_site_occupancy
Be1 Be 0.2505 0.5000 0.3628 1
Be2 Be 0.7505 0.5000 0.3628 1
Be3 Be 0.2495 0.5000 0.8628 1
Be4 Be 0.7495 0.5000 0.8628 1
N1 N 0.0000 0.4052 0.1129 1
N2 N 0.5000 0.5948 0.1129 1
N3 N 0.5000 0.4052 0.6129 1
N4 N 0.0000 0.5948 0.6129 1
O1 O 0.5004 0.1430 0.1133 1
O2 O 0.0004 0.8570 0.1133 1
O3 O 0.9996 0.1430 0.6133 1
O4 O 0.4996 0.8570 0.6133 1
Zr1 Zr 0.0003 0.1569 0.1134 1
Zr2 Zr 0.5003 0.8431 0.1134 1
Zr3 Zr 0.4997 0.1569 0.6134 1
Zr4 Zr 0.9997 0.8431 0.6134 1
# **V**: 10.20 A^3/atom

---

<iii>
# ZrBeNO, optimized geometry, DFT PBE
data_ZrBeNO
_symmetry_space_group_name_H-M 'P 1'
_symmetry_Int_Tables_number 1
_cell_length_a 4.5290
_cell_length_b 4.6517
_cell_length_c 7.4293
_cell_angle_alpha 90.00
_cell_angle_beta 90.00
_cell_angle_gamma 90.00
loop_
_symmetry_equiv_pos_as_xyz
'x,y,z'
loop_
_atom_site_label
_atom_site_type_symbol
_atom_site_fract_x
_atom_site_fract_y
_atom_site_fract_z
_atom_site_occupancy
Be1 Be 0.9802 0.5892 0.4114 1
Be2 Be 0.4802 0.9108 0.4114 1
Be3 Be 0.9802 0.0892 0.5886 1
Be4 Be 0.4802 0.4108 0.5886 1
N1 N 0.5508 0.0032 0.1747 1
N2 N 0.0508 0.4968 0.1747 1
N3 N 0.5508 0.5032 0.8253 1
N4 N 0.0508 0.9968 0.8253 1
O1 O 0.6209 0.5947 0.4311 1
O2 O 0.1209 0.9053 0.4311 1
O3 O 0.6209 0.0947 0.5689 1
O4 O 0.1209 0.4053 0.5689 1
Zr1 Zr 0.0505 0.0045 0.1429 1
Zr2 Zr 0.5505 0.4955 0.1429 1
Zr3 Zr 0.0505 0.5045 0.8571 1
Zr4 Zr 0.5505 0.9955 0.8571 1
# **V**: 9.78 A^3/atom

---

<iv>
# ZrBeNO, optimized geometry, DFT PBE
data_ZrBeNO
_symmetry_space_group_name_H-M 'P 1'
_symmetry_Int_Tables_number 1
_cell_length_a 3.2678
_cell_length_b 5.8440
_cell_length_c 4.6163
_cell_angle_alpha 90.00
_cell_angle_beta 90.00
_cell_angle_gamma 90.00
loop_
_symmetry_equiv_pos_as_xyz
'x,y,z'
loop_
_atom_site_label
_atom_site_type_symbol
_atom_site_fract_x
_atom_site_fract_y
_atom_site_fract_z
_atom_site_occupancy
Be1 Be 0.0000 0.8658 0.0101 1
Be2 Be 0.0000 0.1342 0.5101 1
N1 N 0.0000 0.8744 0.3760 1
N2 N 0.0000 0.1256 0.8760 1
O1 O 0.5000 0.2801 0.4294 1
O2 O 0.5000 0.7199 0.9294 1
Zr1 Zr 0.5000 0.6710 0.4385 1
Zr2 Zr 0.5000 0.3290 0.9385 1
# **V**: 11.02 A^3/atom

---

List of relative energies, unit kJ/mol of atoms: <i> 58.0; <ii> 24.5; <iii> 0.0; <iv> 42.2

---

<i>
# ZrBeNO, optimized geometry, DFT PBE
data_ZrBeNO
_symmetry_space_group_name_H-M 'P 1'
_symmetry_Int_Tables_number 1
_cell_length_a 3.0499
_cell_length_b 4.9223
_cell_length_c 5.4217
_cell_angle_alpha 90.00
_cell_angle_beta 90.00
_cell_angle_gamma 90.00
loop_
_symmetry_equiv_pos_as_xyz
'x,y,z'
loop_
_atom_site_label
_atom_site_type_symbol
_atom_site_fract_x
_atom_site_fract_y
_atom_site_fract_z
_atom_site_occupancy
Be1 Be 0.5000 0.9962 0.1947 1
Be2 Be 0.5000 0.4962 0.8053 1
N1 N 0.0000 0.9558 0.3426 1
N2 N 0.0000 0.4558 0.6574 1
O1 O 0.5000 0.2811 0.0441 1
O2 O 0.5000 0.7811 0.9559 1
Zr1 Zr 0.0000 0.5209 0.2845 1
Zr2 Zr 0.0000 0.0209 0.7155 1
# **V**: 10.17 A^3/atom

---

<ii>
# ZrBeNO, optimized geometry, DFT PBE
data_ZrBeNO
_symmetry_space_group_name_H-M 'P 1'
_symmetry_Int_Tables_number 1
_cell_length_a 3.2855
_cell_length_b 3.2855
_cell_length_c 7.3087
_cell_angle_alpha 90.00
_cell_angle_beta 90.00
_cell_angle_gamma 90.00
loop_
_symmetry_equiv_pos_as_xyz
'x,y,z'
loop_
_atom_site_label
_atom_site_type_symbol
_atom_site_fract_x
_atom_site_fract_y
_atom_site_fract_z
_atom_site_occupancy
Be1 Be 0.0000 0.0000 0.5000 1
Be2 Be 0.5000 0.5000 0.5000 1
N1 N 0.5000 0.0000 0.3767 1
N2 N 0.0000 0.5000 0.6233 1
O1 O 0.0000 0.0000 0.0000 1
O2 O 0.5000 0.5000 0.0000 1
Zr1 Zr 0.0000 0.5000 0.1831 1
Zr2 Zr 0.5000 0.0000 0.8169 1
# **V**: 9.86 A^3/atom

---

List of relative energies, unit kJ/mol of atoms: <i> 0.0; <ii> 41.3

---

<i>
# NaBePd, optimized geometry, DFT PBE
data_NaBePd
_symmetry_space_group_name_H-M 'P 1'
_symmetry_Int_Tables_number 1
_cell_length_a 4.2349
_cell_length_b 4.2349
_cell_length_c 4.2349
_cell_angle_alpha 60.00
_cell_angle_beta 60.00
_cell_angle_gamma 60.00
loop_
_symmetry_equiv_pos_as_xyz
'x,y,z'
loop_
_atom_site_label
_atom_site_type_symbol
_atom_site_fract_x
_atom_site_fract_y
_atom_site_fract_z
_atom_site_occupancy
Be1 Be 0.2500 0.2500 0.2500 1
Na1 Na 0.0000 0.0000 0.0000 1
Pd1 Pd 0.7500 0.7500 0.7500 1
# **V**: 17.90 A^3/atom

---

<ii>
# NaBePd, optimized geometry, DFT PBE
data_NaBePd
_symmetry_space_group_name_H-M 'P 1'
_symmetry_Int_Tables_number 1
_cell_length_a 4.1126
_cell_length_b 4.1126
_cell_length_c 4.1126
_cell_angle_alpha 60.00
_cell_angle_beta 60.00
_cell_angle_gamma 60.00
loop_
_symmetry_equiv_pos_as_xyz
'x,y,z'
loop_
_atom_site_label
_atom_site_type_symbol
_atom_site_fract_x
_atom_site_fract_y
_atom_site_fract_z
_atom_site_occupancy
Be1 Be 0.0000 0.0000 0.0000 1
Na1 Na 0.2500 0.2500 0.2500 1
Pd1 Pd 0.7500 0.7500 0.7500 1
# **V**: 16.39 A^3/atom

---

List of relative energies, unit kJ/mol of atoms: <i> 57.6; <ii> 0.0

---

<i>
# NaBeSbPd, optimized geometry, DFT PBE
data_NaBeSbPd
_symmetry_space_group_name_H-M 'P 1'
_symmetry_Int_Tables_number 1
_cell_length_a 4.5861
_cell_length_b 4.5861
_cell_length_c 4.5861
_cell_angle_alpha 60.00
_cell_angle_beta 60.00
_cell_angle_gamma 60.00
loop_
_symmetry_equiv_pos_as_xyz
'x,y,z'
loop_
_atom_site_label
_atom_site_type_symbol
_atom_site_fract_x
_atom_site_fract_y
_atom_site_fract_z
_atom_site_occupancy
Be1 Be 0.2500 0.2500 0.2500 1
Na1 Na 0.7500 0.7500 0.7500 1
Pd1 Pd 0.5000 0.5000 0.5000 1
Sb1 Sb 0.0000 0.0000 0.0000 1
# **V**: 17.05 A^3/atom

---

<ii>
# NaBeSbPd, optimized geometry, DFT PBE
data_NaBeSbPd
_symmetry_space_group_name_H-M 'P 1'
_symmetry_Int_Tables_number 1
_cell_length_a 4.5838
_cell_length_b 4.5838
_cell_length_c 4.5838
_cell_angle_alpha 60.00
_cell_angle_beta 60.00
_cell_angle_gamma 60.00
loop_
_symmetry_equiv_pos_as_xyz
'x,y,z'
loop_
_atom_site_label
_atom_site_type_symbol
_atom_site_fract_x
_atom_site_fract_y
_atom_site_fract_z
_atom_site_occupancy
Be1 Be 0.5000 0.5000 0.5000 1
Na1 Na 0.7500 0.7500 0.7500 1
Pd1 Pd 0.2500 0.2500 0.2500 1
Sb1 Sb 0.0000 0.0000 0.0000 1
# **V**: 17.03 A^3/atom

---

List of relative energies, unit kJ/mol of atoms: <i> 5.2; <ii> 0.0

---

<i>
# NaTaBePd, optimized geometry, DFT PBE
data_NaTaBePd
_symmetry_space_group_name_H-M 'P 1'
_symmetry_Int_Tables_number 1
_cell_length_a 4.3871
_cell_length_b 4.3871
_cell_length_c 4.3871
_cell_angle_alpha 60.00
_cell_angle_beta 60.00
_cell_angle_gamma 60.00
loop_
_symmetry_equiv_pos_as_xyz
'x,y,z'
loop_
_atom_site_label
_atom_site_type_symbol
_atom_site_fract_x
_atom_site_fract_y
_atom_site_fract_z
_atom_site_occupancy
Be1 Be 0.7500 0.7500 0.7500 1
Na1 Na 0.0000 0.0000 0.0000 1
Pd1 Pd 0.5000 0.5000 0.5000 1
Ta1 Ta 0.2500 0.2500 0.2500 1
# **V**: 14.93 A^3/atom

---

<ii>
# NaTaBePd, optimized geometry, DFT PBE
data_NaTaBePd
_symmetry_space_group_name_H-M 'P 1'
_symmetry_Int_Tables_number 1
_cell_length_a 4.4500
_cell_length_b 4.4500
_cell_length_c 4.4500
_cell_angle_alpha 60.00
_cell_angle_beta 60.00
_cell_angle_gamma 60.00
loop_
_symmetry_equiv_pos_as_xyz
'x,y,z'
loop_
_atom_site_label
_atom_site_type_symbol
_atom_site_fract_x
_atom_site_fract_y
_atom_site_fract_z
_atom_site_occupancy
Be1 Be 0.0000 0.0000 0.0000 1
Na1 Na 0.7500 0.7500 0.7500 1
Pd1 Pd 0.5000 0.5000 0.5000 1
Ta1 Ta 0.2500 0.2500 0.2500 1
# **V**: 15.58 A^3/atom

---

List of relative energies, unit kJ/mol of atoms: <i> 0.0; <ii> 2.2